No. 1
Ac3Fe5S12: optimized geometry, PBE-GGA.

Cell and atoms, written as POSCAR:
```
Ac3Fe5S12
1.0
-7.585 7.585 7.585
7.585 -7.585 7.585
7.585 7.585 -7.585
Ac Fe S
12 20 48
Cartesian
3.792 1.896 0.000
7.585 3.792 -1.896
1.896 0.000 3.792
9.481 0.000 3.792
0.000 3.792 1.896
3.792 -1.896 7.585
3.792 9.481 0.000
7.585 3.792 5.688
-1.896 7.585 3.792
5.688 7.585 3.792
0.000 3.792 9.481
3.792 5.688 7.585
0.000 0.000 0.000
3.792 3.792 -3.792
3.792 -3.792 3.792
7.585 0.000 0.000
11.377 1.896 0.000
7.585 -3.792 5.688
5.688 7.585 -3.792
5.688 0.000 3.792
3.792 5.688 0.000
7.585 3.792 1.896
-3.792 3.792 3.792
0.000 7.585 0.000
0.000 0.000 7.585
3.792 3.792 3.792
0.000 3.792 5.688
3.792 1.896 7.585
1.896 7.585 3.792
1.896 0.000 11.377
0.000 11.377 1.896
-3.792 5.688 7.585
2.164 -0.518 0.741
9.213 4.533 -4.310
9.748 0.518 0.741
9.213 -3.052 4.310
7.067 -0.741 2.164
11.895 -1.628 3.052
0.741 2.164 -0.518
10.636 3.274 -1.628
4.533 4.310 -1.628
6.844 2.164 0.518
-0.518 0.741 2.164
4.310 -1.628 4.533
7.067 6.844 -2.164
4.310 1.628 3.052
4.533 -4.310 9.213
6.844 -2.164 7.067
3.052 4.310 1.628
8.325 5.421 0.518
4.310 9.213 -3.052
7.067 0.741 5.421
2.164 7.067 -0.741
9.213 3.052 3.274
1.628 3.052 4.310
2.164 0.518 6.844
5.421 7.067 0.741
5.956 4.533 3.274
-1.628 4.533 4.310
5.421 0.518 8.325
0.518 6.844 2.164
3.274 -1.628 10.636
-0.741 2.164 7.067
4.533 3.274 5.956
0.741 9.748 0.518
3.052 11.895 -1.628
3.274 5.956 4.533
0.518 0.741 9.748
3.274 9.213 3.052
8.102 6.844 5.421
0.741 5.421 7.067
3.052 3.274 9.213
-3.052 4.310 9.213
6.844 5.421 8.102
-4.310 9.213 4.533
0.518 8.325 5.421
-1.628 10.636 3.274
-2.164 7.067 6.844
-1.628 3.052 11.895
5.421 8.102 6.844
```

SG: Ia-3d, No. 230
VASP energy in eV per formula unit: -123.0
E_form (uncorrected) in eV per atom: -0.94


No. 2
Ac2ScFeS6: optimized geometry, PBE-GGA.

Cell and atoms, written as POSCAR:
```
Ac2ScFeS6
1.0
6.679 0.000 0.000
0.000 9.457 0.000
0.000 0.000 6.700
Ac Sc Fe S
4 2 2 12
Cartesian
1.670 0.003 1.617
1.670 4.725 1.617
5.010 9.454 5.084
5.010 4.732 5.084
1.670 2.364 4.986
5.010 7.093 1.715
1.670 7.093 5.031
5.010 2.364 1.669
0.064 7.093 6.626
0.087 7.093 3.431
1.670 4.837 5.082
1.670 9.349 5.082
3.253 7.093 3.431
3.275 7.093 6.626
3.404 2.364 0.074
3.426 2.364 3.269
5.010 0.108 1.618
5.010 4.620 1.618
6.593 2.364 3.269
6.615 2.364 0.074
```

SG: Pmmn, No. 59
VASP energy in eV per formula unit: -62.8
E_form (uncorrected) in eV per atom: -1.50


No. 3
Ac2TiFeS6: optimized geometry, PBE-GGA.

Cell and atoms, written as POSCAR:
```
Ac2TiFeS6
1.0
6.533 0.000 0.000
0.000 9.258 0.000
0.000 0.000 6.801
Ac Ti Fe S
4 2 2 12
Cartesian
1.633 9.256 1.461
1.633 4.630 1.461
4.900 0.001 5.341
4.900 4.627 5.341
1.633 2.314 4.799
4.900 6.943 2.002
1.633 6.943 5.066
4.900 2.314 1.735
0.017 6.943 6.730
0.090 6.943 3.456
1.633 4.672 5.252
1.633 9.214 5.252
3.177 6.943 3.456
3.249 6.943 6.730
3.284 2.314 0.071
3.357 2.314 3.345
4.900 0.043 1.549
4.900 4.585 1.549
6.443 2.314 3.345
6.516 2.314 0.071
```

SG: Pmmn, No. 59
VASP energy in eV per formula unit: -63.4
E_form (uncorrected) in eV per atom: -1.40


No. 4
AcUFeS4: optimized geometry, PBE-GGA.

Cell and atoms, written as POSCAR:
```
AcUFeS4
1.0
6.477 0.000 0.000
0.000 5.946 0.000
-2.384 0.000 7.727
Ac U Fe S
2 2 2 8
Cartesian
0.524 1.486 3.366
3.569 4.459 4.360
-0.590 1.486 7.316
4.683 4.459 0.411
1.264 4.459 1.359
2.829 1.486 6.367
-1.704 4.459 6.986
-0.410 4.459 2.831
1.303 3.018 5.948
1.303 5.900 5.948
2.790 0.046 1.779
2.790 2.927 1.779
4.503 1.486 4.896
5.797 1.486 0.741
```

SG: P2_1/m, No. 11
VASP energy in eV per formula unit: -49.6
E_form (uncorrected) in eV per atom: -1.31


No. 5
Ac2ZrFeS6: optimized geometry, PBE-GGA.

Cell and atoms, written as POSCAR:
```
Ac2ZrFeS6
1.0
6.650 0.000 0.000
0.000 9.488 0.000
0.000 0.000 6.832
Ac Zr Fe S
4 2 2 12
Cartesian
1.663 0.086 1.502
1.663 4.658 1.502
4.988 4.830 5.330
4.988 9.402 5.330
1.663 2.372 4.939
4.988 7.116 1.893
1.663 7.116 5.168
4.988 2.372 1.663
0.054 7.116 6.794
0.095 7.116 3.576
1.663 4.859 5.263
1.663 9.373 5.263
3.231 7.116 3.576
3.271 7.116 6.794
3.379 2.372 0.037
3.420 2.372 3.255
4.988 0.115 1.569
4.988 4.629 1.569
6.556 2.372 3.255
6.596 2.372 0.037
```

SG: Pmmn, No. 59
VASP energy in eV per formula unit: -64.5
E_form (uncorrected) in eV per atom: -1.45


No. 6
AcFeSb: optimized geometry, PBE-GGA.

Cell and atoms, written as POSCAR:
```
AcFeSb
1.0
-1.805 1.805 5.863
1.805 -1.805 5.863
1.805 1.805 -5.863
Ac Fe Sb
1 1 1
Cartesian
0.000 0.000 0.000
0.000 0.000 3.667
0.000 0.000 8.399
```

SG: I4mm, No. 107
VASP energy in eV per formula unit: -16.8
E_form (uncorrected) in eV per atom: -0.03